Record 1
Computed, not measured: a geometry-optimized IrAu2Cl structure at the GGA-PBEsol level of DFT.

Lattice parameters (Å, degrees): 2.7782 4.1499 6.6349 108.22 102.08 90.00
Atoms (fractional coordinates):
Au: 0.6958 0.6958 0.3916
Ir: 0.0000 0.5000 0.0000
Cl: 0.5000 0.0000 0.0000
Au: 0.3042 0.3042 0.6084

Values from the calculation:
theoretical density: 14.56 Mg/m³
E_tot: -4.424 eV per atom
E_form (uncorrected): 2.0 eV/f.u.
magnetization: 0.0 μB per formula unit
offset from the most stable computed form: 0.000 eV/atom
space-group type: Immm (71)

Record 2
Computed, not measured: a geometry-optimized KAg2Os structure at the GGA-PBEsol level of DFT.

Lattice parameters (Å, degrees): 2.6630 5.1992 6.1760 114.89 102.45 90.00
Atoms (fractional coordinates):
Ag: 0.7272 0.2272 0.4544
Os: 0.2768 0.7768 0.5536
Ag: 0.9973 0.9973 0.9945
K: 0.4987 0.4987 0.9975

Values from the calculation:
theoretical density: 9.81 Mg/m³
E_tot: -4.135 eV per atom
magnetization: 0.0 μB per formula unit
offset from the most stable computed form: 0.000 eV/atom
space-group type: Imm2 (44)

Record 3
Computed, not measured: a geometry-optimized SrTiMoS2 structure at the GGA-PBEsol level of DFT.

Lattice parameters (Å, degrees): 4.4416 4.8728 4.8728 90.00 90.00 90.00
Site moments in Bohr magnetons follow the coordinates.
Atoms (fractional coordinates):
Ti: 0.0000 0.0000 0.0000  -0.16
S: 0.0000 0.0000 0.5000  0.02
Sr: 0.5000 0.5000 0.5000  0.04
Mo: 0.5000 0.0000 0.0000  1.79
S: 0.0000 0.5000 0.0000  0.02

Values from the calculation:
theoretical density: 4.65 Mg/m³
E_tot: -6.351 eV per atom
E_form (uncorrected): -1.1 eV/f.u.
magnetization: 2.1 μB per formula unit
space-group type: P4/mmm (123)

Record 4
Computed, not measured: a geometry-optimized ZrHOs2 structure at the GGA-PBEsol level of DFT.

Lattice parameters (Å, degrees): 4.2972 4.2972 4.2972 60.00 60.00 60.00
Atoms (fractional coordinates):
H: 0.0000 0.0000 0.0000
Os: 0.2500 0.2500 0.2500
Zr: 0.5000 0.5000 0.5000
Os: 0.7500 0.7500 0.7500

Values from the calculation:
theoretical density: 13.99 Mg/m³
E_tot: -8.296 eV per atom
magnetization: 0.0 μB per formula unit
space-group type: Fm-3m (225)

Please write out number 2 again, unchanged.
Computed, not measured: a geometry-optimized KAg2Os structure at the GGA-PBEsol level of DFT.

Lattice parameters (Å, degrees): 2.6630 5.1992 6.1760 114.89 102.45 90.00
Atoms (fractional coordinates):
Ag: 0.7272 0.2272 0.4544
Os: 0.2768 0.7768 0.5536
Ag: 0.9973 0.9973 0.9945
K: 0.4987 0.4987 0.9975

Values from the calculation:
theoretical density: 9.81 Mg/m³
E_tot: -4.135 eV per atom
magnetization: 0.0 μB per formula unit
offset from the most stable computed form: 0.000 eV/atom
space-group type: Imm2 (44)